Material: PmHo4Er7
Method: DFT, PBE
State: optimized geometry

POSCAR file:
```
PmHo4Er7
1.0
6.822 1.155 0.299
4.235 7.097 1.789
-1.757 -0.619 8.473
Pm Ho Er
1 4 7
Cartesian
0.000 0.000 0.000
6.169 5.135 4.025
3.131 2.499 6.535
7.669 6.264 7.310
1.631 1.369 3.251
5.486 3.929 9.393
3.815 3.704 1.168
6.598 2.951 6.516
2.702 4.683 4.044
4.307 5.728 6.885
3.411 0.578 0.149
4.993 1.905 3.676
```

**Relative energy among the computed polymorphs**: 0 meV/atom
**Symmetry**: P-1, No. 2
**Total magnetic moment**: 0.0 μB/f.u.
**V**: 376 Å³ per cell
**ΔH_f (0 K)**: 0.083 eV per atom
**Density**: 8.7 g/cm3


Material: Pm5HoEr
Method: DFT, PBE
State: optimized geometry

POSCAR file:
```
Pm5HoEr
1.0
-3.349 5.025 1.190
-6.825 0.707 -6.275
-6.262 -3.316 5.566
Pm Ho Er
10 2 2
Cartesian
-10.937 -0.441 1.271
-6.970 0.749 1.621
-4.806 -0.831 -0.340
-9.500 2.029 3.425
-8.905 -1.796 3.740
-7.532 4.212 -3.258
-6.936 0.388 -2.944
-11.630 3.248 0.822
-9.466 1.668 -1.139
-5.500 2.858 -0.790
0.000 0.000 0.000
-3.131 -1.658 2.783
-13.080 0.774 -1.349
-3.357 1.643 1.831
```

**Relative energy among the computed polymorphs**: 0 meV/atom
**Symmetry**: C2/c, No. 15
**Total magnetic moment**: 0.0 μB/f.u.
**V**: 477 Å³ per cell
**ΔH_f (0 K)**: 0.176 eV per atom
**Density**: 7.4 g/cm3


Which formula does entry 1 have?
PmHo4Er7